# PBEsol Sr2ZrCu, optimized geometry
data_Sr2ZrCu
_chemical_formula_sum 'Sr4 Zr2 Cu2'
_symmetry_space_group_name_H-M 'I m m 2'
_symmetry_Int_Tables_number 44
_symmetry_space_group_name_Hall 'I 2 -2'
_cell_length_a 3.5525
_cell_length_b 5.5907
_cell_length_c 11.8192
_cell_angle_alpha 90.00
_cell_angle_beta 90.00
_cell_angle_gamma 90.00
loop_
_atom_site_label
_atom_site_fract_x
_atom_site_fract_y
_atom_site_fract_z
_atom_site_occupancy
Sr1 0.0000 0.0000 0.0000 1
Sr2 0.0000 0.5000 0.2015 1
Zr1 0.0000 0.5000 0.8090 1
Cu1 0.0000 0.0000 0.4690 1
# theoretical density: 4.7 g/cm3
# DFT formation energy: 0.358 eV/atom
# E: -31.35 eV/cell
# Fermi-level density of states: 12.57 states/eV per cell
# V: 29.3 Å³ per atom